Entry 1:
Ni2AgMo: optimized geometry, GGA-PBE.

Values from the calculation:
E_form	0.483	eV per atom
energy relative to the lowest polymorph listed for this composition	0.386	eV/atom

```
Ni2AgMo
1.0
4.2843 0.0000 0.0000
2.1421 3.7103 0.0000
2.1421 1.2368 3.4981
Ag Mo Ni
1 1 2
Cartesian
4.2843 2.4735 1.7491
2.1421 1.2368 0.8745
0.0000 0.0000 0.0000
6.4264 3.7103 2.6236
```


Entry 2:
InGaCu: optimized geometry, GGA-PBE.

Values from the calculation:
E_form	0.034	eV per atom

```
InGaCu
1.0
3.1812 -0.0039 -0.1119
-0.0194 3.1811 -0.1119
-1.2863 -1.2925 11.2399
In Ga Cu
2 2 2
Cartesian
0.9542 0.9589 7.0206
0.9213 0.9258 3.9954
1.0626 1.0678 10.2015
0.8129 0.8169 0.8145
-0.5605 -0.5632 8.9915
2.4360 2.4479 2.0245
```


Entry 3:
Cs2AlRuCl6: optimized geometry, GGA-PBE.

```
Cs2AlRuCl6
1.0
-3.3092 -6.0955 -1.4384
1.4634 0.8292 -6.8809
3.3830 -5.1163 -3.5431
Cs Ru Al Cl
2 1 1 6
Cartesian
-0.4246 -6.9225 -4.5706
1.9617 -3.4601 -7.2918
0.0000 0.0000 0.0000
-0.9229 -2.6332 -4.1596
1.1984 -3.8565 -3.8559
0.3388 -6.5261 -8.0065
-0.4686 -1.3370 -2.1121
-1.3772 -3.9293 -6.2072
-2.0976 -4.3375 -2.8201
0.2517 -0.9288 -5.4991
```


Entry 4:
MnIrRh6: optimized geometry, GGA-PBE.

Values from the calculation:
E_form	-0.057	eV per atom
energy relative to the lowest polymorph listed for this composition	0.000	eV/atom

```
MnIrRh6
1.0
-0.5075 3.2845 -1.9245
-4.1868 -2.2012 -2.6526
-3.3720 1.7473 3.8713
Mn Ir Rh
1 1 6
Cartesian
-0.2538 1.6422 -0.9622
-4.0332 1.4153 -0.3529
-3.9827 -1.2123 -1.0188
-3.5761 0.7584 2.2375
-5.6654 -0.3402 0.9134
-1.8934 -0.1137 0.3053
-2.3471 0.5417 -2.2885
-1.9398 2.5159 0.9734
```


| no. | V (Å³/atom) | electronic total energy (eV per cell) |
| --- | --- | --- |
| 1 | 13.90 | -23.3 |
| 2 | 18.80 | -19.5 |
| 3 | 25.13 | -37.3 |
| 4 | 14.12 | -62.6 |